Record 1
A plane-wave DFT calculation with GGA-PBE was carried out for an optimized crystal structure of Tc2AgPt2.

## Properties
Its energy of formation is 227 meV/atom. For the density of states at the Fermi level, the calculation gives 16.9 states/eV per cell. The calculation puts the energy at -6.906 eV/atom.

Cell lengths 7.813, 7.813, 2.698 Å; angles 90.00, 90.00, 90.00 degrees
Element x y z (fractional)
1 Tc 0.175 0.325 0.000
2 Tc 0.325 0.825 0.000
3 Tc 0.675 0.175 0.000
4 Tc 0.825 0.675 0.000
5 Ag 0.000 0.000 0.500
6 Ag 0.500 0.500 0.500
7 Pt 0.122 0.622 0.500
8 Pt 0.378 0.122 0.500
9 Pt 0.622 0.878 0.500
10 Pt 0.878 0.378 0.500

---

Record 2
A plane-wave DFT calculation with GGA-PBE was carried out for an optimized crystal structure of TcAgPt2.

## Properties
Its energy of formation is 164 meV/atom. For the density of states at the Fermi level, the calculation gives 5.5 states/eV per cell. The calculation puts the energy at -6.160 eV/atom.

Cell lengths 2.737, 4.454, 11.211 Å; angles 90.00, 90.00, 90.00 degrees
Element x y z (fractional)
1 Tc 0.000 0.000 0.000
2 Tc 0.500 0.500 0.500
3 Ag 0.000 0.500 0.732
4 Ag 0.500 0.000 0.232
5 Pt 0.000 0.000 0.568
6 Pt 0.000 0.500 0.308
7 Pt 0.500 0.000 0.808
8 Pt 0.500 0.500 0.068

---

Record 3
A plane-wave DFT calculation with GGA-PBE was carried out for an optimized crystal structure of TcAgPt2.

## Properties
Its energy of formation is 150 meV/atom. For the density of states at the Fermi level, the calculation gives 7.2 states/eV per cell. The calculation puts the energy at -6.174 eV/atom.

Cell lengths 4.000, 4.000, 7.880 Å; angles 90.00, 90.00, 90.00 degrees
Element x y z (fractional)
1 Tc 0.000 0.000 0.000
2 Tc 0.500 0.500 0.500
3 Ag 0.000 0.000 0.500
4 Ag 0.500 0.500 0.000
5 Pt 0.000 0.500 0.250
6 Pt 0.000 0.500 0.750
7 Pt 0.500 0.000 0.250
8 Pt 0.500 0.000 0.750

---

Record 4
A plane-wave DFT calculation with GGA-PBE was carried out for an optimized crystal structure of TcAgPt2.

## Properties
Its energy of formation is -112 meV/atom. For the density of states at the Fermi level, the calculation gives 2.2 states/eV per cell. The calculation puts the energy at -6.437 eV/atom.

Cell lengths 2.792, 2.792, 8.098 Å; angles 90.00, 90.00, 90.00 degrees
Element x y z (fractional)
1 Tc 0.000 0.000 0.000
2 Ag 0.000 0.000 0.500
3 Pt 0.500 0.500 0.230
4 Pt 0.500 0.500 0.770

---

Record 5
A plane-wave DFT calculation with GGA-PBE was carried out for an optimized crystal structure of TcAg2Pt.

## Properties
Its energy of formation is 199 meV/atom. For the density of states at the Fermi level, the calculation gives 1.7 states/eV per cell. The calculation puts the energy at -5.328 eV/atom.

Cell lengths 2.785, 3.906, 6.092 Å; angles 90.00, 90.00, 90.00 degrees
Element x y z (fractional)
1 Tc 0.000 0.000 0.000
2 Ag 0.000 0.000 0.530
3 Ag 0.500 0.500 0.281
4 Pt 0.500 0.500 0.815

---

Record 6
A plane-wave DFT calculation with GGA-PBE was carried out for an optimized crystal structure of Tc4AgPt.

## Properties
Its energy of formation is 466 meV/atom. For the density of states at the Fermi level, the calculation gives 8.8 states/eV per cell. The calculation puts the energy at -7.926 eV/atom.

Cell lengths 5.133, 5.133, 5.133 Å; angles 60.00, 60.00, 60.00 degrees
Element x y z (fractional)
1 Tc 0.125 0.125 0.125
2 Tc 0.125 0.125 0.624
3 Tc 0.125 0.624 0.125
4 Tc 0.624 0.125 0.125
5 Ag 0.750 0.750 0.750
6 Pt 0.500 0.500 0.500

---

Record 7
A plane-wave DFT calculation with GGA-PBE was carried out for an optimized crystal structure of Tc2AgPt.

## Properties
Its energy of formation is 287 meV/atom. For the density of states at the Fermi level, the calculation gives 5.0 states/eV per cell. The calculation puts the energy at -7.119 eV/atom.

Cell lengths 2.724, 4.190, 5.475 Å; angles 90.00, 90.00, 90.00 degrees
Element x y z (fractional)
1 Tc 0.000 0.000 0.225
2 Tc 0.000 0.000 0.775
3 Ag 0.500 0.500 0.500
4 Pt 0.500 0.500 0.000

---

Record 8
A plane-wave DFT calculation with GGA-PBE was carried out for an optimized crystal structure of Tc2AgPt.

## Properties
Its energy of formation is 274 meV/atom. For the density of states at the Fermi level, the calculation gives 18.4 states/eV per cell. The calculation puts the energy at -7.132 eV/atom.

Cell lengths 2.765, 2.765, 28.140 Å; angles 90.00, 90.00, 120.00 degrees
Element x y z (fractional)
1 Tc 0.000 0.000 0.246
2 Tc 0.000 0.000 0.754
3 Tc 0.333 0.667 0.420
4 Tc 0.333 0.667 0.913
5 Tc 0.667 0.333 0.087
6 Tc 0.667 0.333 0.580
7 Ag 0.000 0.000 0.000
8 Ag 0.333 0.667 0.667
9 Ag 0.667 0.333 0.333
10 Pt 0.000 0.000 0.500
11 Pt 0.333 0.667 0.167
12 Pt 0.667 0.333 0.833

---

Record 9
A plane-wave DFT calculation with GGA-PBE was carried out for an optimized crystal structure of TcAg2Pt.

## Properties
Its energy of formation is 271 meV/atom. For the density of states at the Fermi level, the calculation gives 7.4 states/eV per cell. The calculation puts the energy at -5.257 eV/atom.

Cell lengths 9.755, 2.746, 4.917 Å; angles 90.00, 98.65, 90.00 degrees
Element x y z (fractional)
1 Tc 0.000 0.000 0.000
2 Tc 0.500 0.500 0.000
3 Ag 0.249 0.500 0.248
4 Ag 0.251 0.000 0.752
5 Ag 0.749 0.000 0.248
6 Ag 0.751 0.500 0.752
7 Pt 0.000 0.500 0.500
8 Pt 0.500 0.000 0.500

---

Record 10
A plane-wave DFT calculation with GGA-PBE was carried out for an optimized crystal structure of Tc2AgPt.

## Properties
Its energy of formation is 265 meV/atom. For the density of states at the Fermi level, the calculation gives 7.4 states/eV per cell. The calculation puts the energy at -7.141 eV/atom.

Cell lengths 3.826, 4.148, 7.863 Å; angles 90.00, 90.00, 90.00 degrees
Element x y z (fractional)
1 Tc 0.000 0.000 0.000
2 Tc 0.000 0.500 0.290
3 Tc 0.500 0.000 0.790
4 Tc 0.500 0.500 0.500
5 Ag 0.000 0.500 0.762
6 Ag 0.500 0.000 0.262
7 Pt 0.000 0.000 0.519
8 Pt 0.500 0.500 0.019

---

Record 11
A plane-wave DFT calculation with GGA-PBE was carried out for an optimized crystal structure of TcAg4Pt.

## Properties
Its energy of formation is 593 meV/atom. For the density of states at the Fermi level, the calculation gives 2.8 states/eV per cell. The calculation puts the energy at -4.042 eV/atom.

Cell lengths 5.330, 5.330, 5.330 Å; angles 60.00, 60.00, 60.00 degrees
Element x y z (fractional)
1 Tc 0.000 0.000 0.000
2 Ag 0.125 0.625 0.625
3 Ag 0.625 0.125 0.625
4 Ag 0.625 0.625 0.125
5 Ag 0.625 0.625 0.625
6 Pt 0.250 0.250 0.250

---

Record 12
A plane-wave DFT calculation with GGA-PBE was carried out for an optimized crystal structure of TcAgPt2.

## Properties
Its energy of formation is 132 meV/atom. For the density of states at the Fermi level, the calculation gives 8.9 states/eV per cell. The calculation puts the energy at -6.193 eV/atom.

Cell lengths 9.241, 2.758, 4.990 Å; angles 90.00, 98.88, 90.00 degrees
Element x y z (fractional)
1 Tc 0.000 0.000 0.000
2 Tc 0.500 0.500 0.000
3 Ag 0.000 0.500 0.500
4 Ag 0.500 0.000 0.500
5 Pt 0.244 0.500 0.238
6 Pt 0.256 0.000 0.762
7 Pt 0.744 0.000 0.238
8 Pt 0.756 0.500 0.762

---

Record 13
A plane-wave DFT calculation with GGA-PBE was carried out for an optimized crystal structure of TcAg2Pt.

## Properties
Its energy of formation is 331 meV/atom. For the density of states at the Fermi level, the calculation gives 8.0 states/eV per cell. The calculation puts the energy at -5.196 eV/atom.

Cell lengths 2.824, 4.701, 9.908 Å; angles 90.00, 90.00, 90.00 degrees
Element x y z (fractional)
1 Tc 0.000 0.000 0.000
2 Tc 0.500 0.500 0.000
3 Ag 0.000 0.500 0.250
4 Ag 0.000 0.500 0.750
5 Ag 0.500 0.000 0.250
6 Ag 0.500 0.000 0.750
7 Pt 0.000 0.000 0.500
8 Pt 0.500 0.500 0.500

---

Record 14
A plane-wave DFT calculation with GGA-PBE was carried out for an optimized crystal structure of TcAgPt2.

## Properties
Its energy of formation is 106 meV/atom. For the density of states at the Fermi level, the calculation gives 8.0 states/eV per cell. The calculation puts the energy at -6.219 eV/atom.

Cell lengths 5.672, 8.049, 2.754 Å; angles 90.00, 90.00, 90.00 degrees
Element x y z (fractional)
1 Tc 0.000 0.000 0.000
2 Tc 0.500 0.500 0.000
3 Ag 0.000 0.500 0.000
4 Ag 0.500 0.000 0.000
5 Pt 0.250 0.250 0.500
6 Pt 0.250 0.750 0.500
7 Pt 0.750 0.250 0.500
8 Pt 0.750 0.750 0.500

---

Record 15
A plane-wave DFT calculation with GGA-PBE was carried out for an optimized crystal structure of Tc2AgPt.

## Properties
Its energy of formation is 179 meV/atom. For the density of states at the Fermi level, the calculation gives 3.9 states/eV per cell. The calculation puts the energy at -7.227 eV/atom.

Cell lengths 2.746, 3.956, 5.698 Å; angles 90.00, 90.00, 90.00 degrees
Element x y z (fractional)
1 Tc 0.000 0.000 0.000
2 Tc 0.500 0.500 0.212
3 Ag 0.000 0.000 0.486
4 Pt 0.500 0.500 0.742

---

Record 16
A plane-wave DFT calculation with GGA-PBE was carried out for an optimized crystal structure of Tc2AgPt.

## Properties
Its energy of formation is 1658 meV/atom. For the density of states at the Fermi level, the calculation gives 13.2 states/eV per cell. The calculation puts the energy at -5.748 eV/atom.

Cell lengths 5.729, 5.729, 11.284 Å; angles 90.00, 90.00, 90.00 degrees
Element x y z (fractional)
1 Tc 0.230 0.250 0.125
2 Tc 0.250 0.730 0.375
3 Tc 0.250 0.770 0.875
4 Tc 0.270 0.250 0.625
5 Tc 0.730 0.750 0.625
6 Tc 0.750 0.230 0.875
7 Tc 0.750 0.270 0.375
8 Tc 0.770 0.750 0.125
9 Ag 0.000 0.000 0.500
10 Ag 0.000 0.500 0.750
11 Ag 0.500 0.000 0.250
12 Ag 0.500 0.500 0.000
13 Pt 0.000 0.000 0.000
14 Pt 0.000 0.500 0.250
15 Pt 0.500 0.000 0.750
16 Pt 0.500 0.500 0.500

---

Record 17
A plane-wave DFT calculation with GGA-PBE was carried out for an optimized crystal structure of Tc2AgPt.

## Properties
Its energy of formation is 224 meV/atom. For the density of states at the Fermi level, the calculation gives 6.4 states/eV per cell. The calculation puts the energy at -7.182 eV/atom.

Cell lengths 2.867, 4.624, 9.545 Å; angles 90.00, 90.00, 90.00 degrees
Element x y z (fractional)
1 Tc 0.000 0.000 0.000
2 Tc 0.000 0.500 0.224
3 Tc 0.500 0.000 0.224
4 Tc 0.500 0.500 0.000
5 Ag 0.000 0.500 0.735
6 Ag 0.500 0.000 0.735
7 Pt 0.000 0.000 0.474
8 Pt 0.500 0.500 0.474

---

Record 18
A plane-wave DFT calculation with GGA-PBE was carried out for an optimized crystal structure of TcAgPt2.

## Properties
Its energy of formation is 274 meV/atom. For the density of states at the Fermi level, the calculation gives 15.9 states/eV per cell. The calculation puts the energy at -6.050 eV/atom.

Cell lengths 6.382, 6.382, 6.382 Å; angles 90.00, 90.00, 90.00 degrees
Element x y z (fractional)
1 Tc 0.000 0.000 0.000
2 Tc 0.000 0.500 0.500
3 Tc 0.500 0.000 0.500
4 Tc 0.500 0.500 0.000
5 Ag 0.000 0.000 0.500
6 Ag 0.000 0.500 0.000
7 Ag 0.500 0.000 0.000
8 Ag 0.500 0.500 0.500
9 Pt 0.250 0.250 0.250
10 Pt 0.250 0.250 0.750
11 Pt 0.250 0.750 0.250
12 Pt 0.250 0.750 0.750
13 Pt 0.750 0.250 0.250
14 Pt 0.750 0.250 0.750
15 Pt 0.750 0.750 0.250
16 Pt 0.750 0.750 0.750

---

Record 19
A plane-wave DFT calculation with GGA-PBE was carried out for an optimized crystal structure of TcAgPt2.

## Properties
Its energy of formation is 56 meV/atom. For the density of states at the Fermi level, the calculation gives 14.7 states/eV per cell. The calculation puts the energy at -6.269 eV/atom.

Cell lengths 2.789, 2.789, 28.056 Å; angles 90.00, 90.00, 120.00 degrees
Element x y z (fractional)
1 Tc 0.000 0.000 0.000
2 Tc 0.333 0.667 0.667
3 Tc 0.667 0.333 0.333
4 Ag 0.000 0.000 0.753
5 Ag 0.333 0.667 0.420
6 Ag 0.667 0.333 0.086
7 Pt 0.000 0.000 0.257
8 Pt 0.000 0.000 0.506
9 Pt 0.333 0.667 0.172
10 Pt 0.333 0.667 0.924
11 Pt 0.667 0.333 0.590
12 Pt 0.667 0.333 0.839

---

Record 20
A plane-wave DFT calculation with GGA-PBE was carried out for an optimized crystal structure of TcAgPt2.

## Properties
Its energy of formation is 126 meV/atom. For the density of states at the Fermi level, the calculation gives 3.5 states/eV per cell. The calculation puts the energy at -6.198 eV/atom.

Cell lengths 2.762, 4.002, 5.725 Å; angles 90.00, 90.00, 90.00 degrees
Element x y z (fractional)
1 Tc 0.000 0.000 0.000
2 Ag 0.500 0.500 0.279
3 Pt 0.000 0.000 0.529
4 Pt 0.500 0.500 0.794

---

Volume, respectively: 16.5 17.1 15.8 15.8 16.6 15.9 15.6 15.5 16.3 15.6 17.8 15.7 16.4 15.7 15.5 23.1 15.8 16.2 15.8 15.8 Å³/atom.